Record 1
The following is a DFT calculation (PBE) of crystalline Ca4CoCl at its relaxed geometry.

Output
total DFT energy (no corrections) = -13.762 eV/f.u.
symmetry = F-43m (216)

Cell lengths 6.742, 6.742, 6.742 Å; angles 60.00, 60.00, 60.00 degrees
Each line ends with the local moment (μB).
Element x y z (fractional)
Ca (0.878, 0.374, 0.374)  -0.08
Ca (0.374, 0.374, 0.878)  -0.08
Ca (0.374, 0.878, 0.374)  -0.08
Ca (0.374, 0.374, 0.374)  -0.08
Co (0.000, 0.000, 0.000)  1.99
Cl (0.750, 0.750, 0.750)  0.00

Record 2
The following is a DFT calculation (PBE) of crystalline Nd7Sm2Er at its relaxed geometry.

Output
formation energy from the elements = 627 meV per atom
total DFT energy (no corrections) = -41.110 eV/f.u.
symmetry = Cmmm (65)

Cell lengths 5.513, 9.594, 9.594 Å; angles 125.54, 90.00, 90.00 degrees
Element x y z (fractional)
Nd (0.000, 0.790, 0.210)
Nd (0.000, 0.210, 0.790)
Nd (0.500, 0.071, 0.290)
Nd (0.500, 0.929, 0.710)
Nd (0.500, 0.290, 0.071)
Nd (0.500, 0.710, 0.929)
Nd (0.500, 0.500, 0.500)
Sm (0.500, 0.706, 0.294)
Sm (0.500, 0.294, 0.706)
Er (0.000, 0.000, 0.000)